{"formula": "La3RuSeCl", "functional": "PBE-GGA", "state": "relaxed", "e_tot_ev_per_atom": -6.21, "formation_energy_uncorrected_ev_per_atom": -1.31, "spacegroup": "No. 11", "lattice_angstrom": [[-2.145, 1.871, 3.190], [8.349, -1.265, 6.356], [2.274, 6.985, -2.567]], "species": ["Cl", "Ru", "La", "Ru", "La", "La", "La", "Cl", "Se", "La", "Se", "La"], "fractional_positions": [[0.250, 0.007, 0.721], [0.250, 0.674, 0.094], [0.250, 0.501, 0.778], [0.750, 0.326, 0.906], [0.250, 0.803, 0.387], [0.750, 0.806, 0.951], [0.750, 0.197, 0.613], [0.750, 0.993, 0.279], [0.250, 0.329, 0.416], [0.750, 0.499, 0.222], [0.750, 0.671, 0.584], [0.250, 0.194, 0.049]]}

{"formula": "La4RuSe2Cl", "functional": "PBE-GGA", "state": "relaxed", "e_tot_ev_per_atom": -6.17, "formation_energy_uncorrected_ev_per_atom": -1.45, "spacegroup": "No. 10", "lattice_angstrom": [[4.199, 0.000, 0.000], [0.000, 7.509, -0.283], [0.000, 2.521, 6.980]], "species": ["La", "Ru", "La", "Se", "La", "Se", "La", "Cl"], "fractional_positions": [[0.500, 0.268, 0.730], [0.000, 0.500, 0.500], [0.000, 0.741, 0.732], [0.000, 0.000, 0.000], [0.500, 0.732, 0.270], [0.500, 0.000, 0.500], [0.000, 0.259, 0.268], [0.500, 0.500, 0.000]]}

{"formula": "La6SiRu2Cl3", "functional": "PBE-GGA", "state": "relaxed", "e_tot_ev_per_atom": -6.00, "formation_energy_uncorrected_ev_per_atom": -1.08, "spacegroup": "No. 12", "lattice_angstrom": [[7.333, -0.005, -0.008], [-3.669, 6.349, -0.008], [-1.231, -2.131, 7.483]], "species": ["La", "La", "La", "La", "Ru", "Ru", "La", "Cl", "Cl", "Si", "Cl", "La"], "fractional_positions": [[0.581, 0.934, 0.790], [0.419, 0.066, 0.210], [0.718, 0.718, 0.210], [0.282, 0.282, 0.790], [0.333, 0.667, 0.000], [0.667, 0.333, 0.000], [0.066, 0.419, 0.210], [0.836, 0.164, 0.500], [0.500, 0.500, 0.500], [0.000, 0.000, 0.000], [0.164, 0.836, 0.500], [0.934, 0.581, 0.790]]}

{"formula": "LaTa2RuCl", "functional": "PBE-GGA", "state": "relaxed", "e_tot_ev_per_atom": -7.24, "formation_energy_uncorrected_ev_per_atom": 0.71, "spacegroup": "No. 123", "lattice_angstrom": [[-2.635, -2.769, -2.899], [4.448, -2.766, -1.402], [-0.763, -3.059, 3.616]], "species": ["Ru", "La", "Ta", "Cl", "Ta"], "fractional_positions": [[0.000, 0.000, 0.000], [0.500, 0.500, 0.500], [0.000, 0.000, 0.500], [0.000, 0.500, 0.000], [0.500, 0.000, 0.000]]}

{"formula": "La2TcRuCl", "functional": "PBE-GGA", "state": "relaxed", "e_tot_ev_per_atom": -5.95, "formation_energy_uncorrected_ev_per_atom": 0.32, "spacegroup": "No. 123", "lattice_angstrom": [[-4.815, 1.626, -1.833], [-1.142, -4.136, -0.670], [-1.997, -0.261, 5.013]], "species": ["Tc", "La", "La", "Ru", "Cl"], "fractional_positions": [[0.500, 0.500, 0.500], [0.000, 0.000, 0.500], [0.500, 0.000, 0.000], [0.000, 0.500, 0.000], [0.000, 0.000, 0.000]]}

{"formula": "La6Tc2RuCl3", "functional": "PBE-GGA", "state": "relaxed", "e_tot_ev_per_atom": -6.26, "formation_energy_uncorrected_ev_per_atom": -0.83, "spacegroup": "No. 12", "lattice_angstrom": [[4.259, 0.000, 0.000], [0.000, 8.614, -1.116], [-2.130, -3.938, 9.406]], "species": ["Tc", "La", "La", "Cl", "La", "Cl", "Ru", "Cl", "La", "Tc", "La", "La"], "fractional_positions": [[0.141, 0.241, 0.283], [0.670, 0.509, 0.340], [0.330, 0.491, 0.660], [0.835, 0.211, 0.670], [0.995, 0.210, 0.989], [0.500, 0.500, 0.000], [0.500, 0.000, 0.000], [0.165, 0.789, 0.330], [0.333, 0.910, 0.666], [0.859, 0.759, 0.717], [0.667, 0.090, 0.334], [0.005, 0.790, 0.011]]}

{"formula": "La4Te2RuCl", "functional": "PBE-GGA", "state": "relaxed", "e_tot_ev_per_atom": -5.89, "formation_energy_uncorrected_ev_per_atom": -1.25, "spacegroup": "No. 10", "lattice_angstrom": [[-2.351, 1.091, -3.456], [-6.368, 0.679, 4.545], [-0.280, 7.192, 2.461]], "species": ["La", "La", "Te", "Ru", "Cl", "La", "Te", "La"], "fractional_positions": [[0.000, 0.723, 0.734], [0.500, 0.713, 0.279], [0.500, 0.000, 0.500], [0.000, 0.500, 0.500], [0.500, 0.500, 0.000], [0.000, 0.277, 0.266], [0.000, 0.000, 0.000], [0.500, 0.287, 0.721]]}

{"formula": "La3TeRuCl", "functional": "PBE-GGA", "state": "relaxed", "e_tot_ev_per_atom": -5.92, "formation_energy_uncorrected_ev_per_atom": -1.08, "spacegroup": "No. 11", "lattice_angstrom": [[4.329, 0.000, 0.000], [0.000, 9.140, 0.725], [0.000, -1.686, 10.234]], "species": ["La", "La", "La", "La", "La", "Ru", "Cl", "La", "Te", "Te", "Ru", "Cl"], "fractional_positions": [[0.750, 0.400, 0.139], [0.750, 0.852, 0.145], [0.250, 0.600, 0.861], [0.250, 0.148, 0.855], [0.750, 0.338, 0.603], [0.750, 0.373, 0.839], [0.250, 0.132, 0.572], [0.250, 0.662, 0.397], [0.250, 0.128, 0.170], [0.750, 0.872, 0.830], [0.250, 0.627, 0.161], [0.750, 0.868, 0.428]]}

{"formula": "La4TeRuCl2", "functional": "PBE-GGA", "state": "relaxed", "e_tot_ev_per_atom": -5.75, "formation_energy_uncorrected_ev_per_atom": -1.27, "spacegroup": "No. 10", "lattice_angstrom": [[4.229, 0.000, 0.000], [0.000, 7.407, -0.159], [0.000, 2.619, 7.544]], "species": ["La", "La", "Cl", "La", "Ru", "Cl", "Te", "La"], "fractional_positions": [[0.500, 0.725, 0.287], [0.000, 0.739, 0.712], [0.500, 0.000, 0.500], [0.000, 0.261, 0.288], [0.000, 0.500, 0.500], [0.000, 0.000, 0.000], [0.500, 0.500, 0.000], [0.500, 0.275, 0.713]]}

{"formula": "La6TlRu2Cl3", "functional": "PBE-GGA", "state": "relaxed", "e_tot_ev_per_atom": -5.68, "formation_energy_uncorrected_ev_per_atom": -1.01, "spacegroup": "No. 12", "lattice_angstrom": [[4.105, 0.000, 0.000], [0.000, 9.108, 0.127], [-2.052, -2.871, 10.011]], "species": ["Ru", "Cl", "La", "La", "La", "Ru", "La", "Cl", "Tl", "La", "La", "Cl"], "fractional_positions": [[0.169, 0.348, 0.338], [0.500, 0.500, 0.000], [0.961, 0.714, 0.923], [0.313, 0.416, 0.626], [0.665, 0.127, 0.330], [0.831, 0.652, 0.662], [0.687, 0.584, 0.374], [0.183, 0.857, 0.365], [0.500, 0.000, 0.000], [0.335, 0.873, 0.670], [0.039, 0.286, 0.077], [0.817, 0.143, 0.635]]}

{"formula": "La6Tl2RuCl", "functional": "PBE-GGA", "state": "relaxed", "e_tot_ev_per_atom": -4.97, "formation_energy_uncorrected_ev_per_atom": -0.43, "spacegroup": "No. 225", "lattice_angstrom": [[-2.267, -6.140, -4.396], [5.415, 1.878, -5.415], [5.296, -5.367, -2.306]], "species": ["Ru", "La", "Cl", "Tl", "La", "Tl", "La", "La", "La", "La"], "fractional_positions": [[0.000, 0.000, 0.000], [0.247, 0.753, 0.000], [0.500, 0.500, 0.000], [0.750, 0.250, 0.500], [0.247, 0.247, 0.000], [0.250, 0.750, 0.500], [0.247, 0.247, 0.507], [0.753, 0.753, 0.493], [0.753, 0.753, 0.000], [0.753, 0.247, 0.000]]}

{"formula": "LaRu2WCl", "functional": "PBE-GGA", "state": "relaxed", "e_tot_ev_per_atom": -6.54, "formation_energy_uncorrected_ev_per_atom": 1.11, "spacegroup": "No. 123", "lattice_angstrom": [[4.405, 0.000, 0.000], [0.000, 5.124, 0.000], [0.000, 0.000, 4.405]], "species": ["La", "Ru", "W", "Cl", "Ru"], "fractional_positions": [[0.000, 0.500, 0.000], [0.000, 0.000, 0.500], [0.500, 0.500, 0.500], [0.000, 0.000, 0.000], [0.500, 0.000, 0.000]]}

{"formula": "La5S4Cl", "functional": "PBE-GGA", "state": "relaxed", "e_tot_ev_per_atom": -6.35, "formation_energy_uncorrected_ev_per_atom": -2.05, "spacegroup": "No. 166", "lattice_angstrom": [[4.122, 0.000, 0.505], [2.030, 3.587, 0.505], [-0.010, -0.006, 17.141]], "species": ["La", "S", "S", "S", "La", "La", "La", "S", "Cl", "La"], "fractional_positions": [[0.202, 0.202, 0.394], [0.700, 0.700, 0.900], [0.100, 0.100, 0.700], [0.300, 0.300, 0.100], [0.600, 0.600, 0.201], [0.798, 0.798, 0.606], [0.000, 0.000, 0.000], [0.900, 0.900, 0.300], [0.500, 0.500, 0.500], [0.400, 0.400, 0.799]]}

{"formula": "LaSCl3", "functional": "PBE-GGA", "state": "relaxed", "e_tot_ev_per_atom": -4.16, "formation_energy_uncorrected_ev_per_atom": -1.25, "polymorph_energy_ev_per_atom": 0.5210, "spacegroup": "No. 221", "lattice_angstrom": [[-2.131, 1.011, 5.067], [4.981, -1.052, 2.305], [1.371, 5.395, -0.500]], "species": ["Cl", "La", "Cl", "Cl", "S"], "fractional_positions": [[0.500, 0.000, 0.000], [0.000, 0.000, 0.000], [0.000, 0.500, 0.000], [0.000, 0.000, 0.500], [0.500, 0.500, 0.500]]}

{"formula": "La2SCl3", "functional": "PBE-GGA", "state": "relaxed", "e_tot_ev_per_atom": -5.45, "formation_energy_uncorrected_ev_per_atom": -2.19, "spacegroup": "No. 12", "lattice_angstrom": [[-0.670, 3.699, 2.605], [-8.276, 1.330, -0.002], [-3.791, -4.369, 9.242]], "species": ["La", "La", "La", "Cl", "Cl", "S", "Cl", "S", "Cl", "Cl", "Cl", "La"], "fractional_positions": [[0.396, 0.765, 0.444], [0.867, 0.445, 0.821], [0.133, 0.555, 0.179], [0.227, 0.145, 0.401], [0.335, 0.316, 0.013], [0.599, 0.480, 0.321], [0.665, 0.684, 0.987], [0.401, 0.520, 0.679], [0.937, 0.870, 0.256], [0.773, 0.855, 0.599], [0.063, 0.130, 0.744], [0.604, 0.235, 0.556]]}

{"formula": "LaS2Cl", "functional": "PBE-GGA", "state": "relaxed", "e_tot_ev_per_atom": -4.65, "formation_energy_uncorrected_ev_per_atom": -0.90, "polymorph_energy_ev_per_atom": 0.4886, "spacegroup": "No. 225", "lattice_angstrom": [[2.554, 1.803, 3.919], [-2.018, -0.141, 4.586], [1.838, -3.136, 3.452]], "species": ["S", "Cl", "La", "S"], "fractional_positions": [[0.750, 0.750, 0.750], [0.000, 0.000, 0.000], [0.500, 0.500, 0.500], [0.250, 0.250, 0.250]]}

{"formula": "LaS3Cl", "functional": "PBE-GGA", "state": "relaxed", "e_tot_ev_per_atom": -3.89, "formation_energy_uncorrected_ev_per_atom": -0.06, "polymorph_energy_ev_per_atom": 0.3498, "spacegroup": "No. 221", "lattice_angstrom": [[-1.816, 2.077, 4.949], [-1.000, -5.264, 1.843], [5.274, -0.283, 2.053]], "species": ["Cl", "S", "S", "La", "S"], "fractional_positions": [[0.500, 0.500, 0.500], [0.000, 0.000, 0.500], [0.500, 0.000, 0.000], [0.000, 0.000, 0.000], [0.000, 0.500, 0.000]]}

{"formula": "La3S2Cl", "functional": "PBE-GGA", "state": "relaxed", "e_tot_ev_per_atom": -6.11, "formation_energy_uncorrected_ev_per_atom": -1.96, "spacegroup": "No. 139", "lattice_angstrom": [[-2.075, 2.075, 8.786], [2.075, -2.075, 8.786], [2.075, 2.075, -8.786]], "species": ["S", "La", "La", "S", "Cl", "La"], "fractional_positions": [[0.334, 0.334, 0.000], [0.831, 0.831, 0.000], [0.500, 0.500, 0.000], [0.666, 0.666, 0.000], [0.000, 0.000, 0.000], [0.169, 0.169, 0.000]]}

{"formula": "LaSCl", "functional": "PBE-GGA", "state": "relaxed", "e_tot_ev_per_atom": -5.81, "formation_energy_uncorrected_ev_per_atom": -2.18, "spacegroup": "No. 12", "lattice_angstrom": [[4.370, 0.000, 0.000], [0.000, 7.646, -0.110], [-2.185, -3.544, 6.506]], "species": ["La", "Cl", "S", "S", "Cl", "La"], "fractional_positions": [[0.741, 0.720, 0.482], [0.645, 0.985, 0.290], [0.143, 0.476, 0.286], [0.857, 0.524, 0.714], [0.355, 0.015, 0.710], [0.259, 0.280, 0.518]]}

{"formula": "LaS3Cl", "functional": "PBE-GGA", "state": "relaxed", "e_tot_ev_per_atom": -4.24, "formation_energy_uncorrected_ev_per_atom": -0.40, "polymorph_energy_ev_per_atom": 0.0000, "spacegroup": "No. 221", "lattice_angstrom": [[4.736, 0.000, 0.000], [0.000, 4.736, 0.000], [0.000, 0.000, 4.736]], "species": ["S", "S", "Cl", "S", "La"], "fractional_positions": [[0.000, 0.500, 0.000], [0.000, 0.000, 0.500], [0.000, 0.000, 0.000], [0.500, 0.000, 0.000], [0.500, 0.500, 0.500]]}

The D(E_F) results, record by record, are as follows: 0.452; 0.837; 0.808; 1.288; 1.456; 0.542; 0.810; 0.491; 0.891; 0.496; 1.131; 1.506; 0.601; 1.934; 0.284; 0.771; 3.117; 0.579; 0.000; 0.163 states/eV/atom.